Version A
# SrReAs3 GGA-PBE optimized geometry
data_SrReAs3
_chemical_formula_sum 'Sr1 Re1 As3'
_cell_length_a 4.941
_cell_length_b 4.941
_cell_length_c 4.941
_cell_angle_alpha 90.00
_cell_angle_beta 90.00
_cell_angle_gamma 90.00
_space_group_name_H-M_alt 'P m -3 m'
_space_group_IT_number 221
_space_group_name_Hall '-P 4 2 3'
loop_
_atom_site_label
_atom_site_type_symbol
_atom_site_fract_x
_atom_site_fract_y
_atom_site_fract_z
Sr1 Sr 0.000 0.000 0.000
Re1 Re 0.500 0.500 0.500
As1 As 0.000 0.500 0.500
# Density   6.864 g/cm³
# Total magnetization   0.00 μB per formula unit



Version B
# SrReAs3 GGA-PBE optimized geometry
data_SrReAs3
_chemical_formula_sum 'Sr1 Re1 As3'
_cell_length_a 5.263
_cell_length_b 5.263
_cell_length_c 5.263
_cell_angle_alpha 90.00
_cell_angle_beta 90.00
_cell_angle_gamma 90.00
_space_group_name_H-M_alt 'P m -3 m'
_space_group_IT_number 221
_space_group_name_Hall '-P 4 2 3'
loop_
_atom_site_label
_atom_site_type_symbol
_atom_site_fract_x
_atom_site_fract_y
_atom_site_fract_z
Sr1 Sr 0.000 0.000 0.000
Re1 Re 0.500 0.500 0.500
As1 As 0.000 0.000 0.500
# Density   5.678 g/cm³
# Total magnetization   0.00 μB per formula unit



Relative energies, in meV/atom, with the most stable structure set to zero: version A 0; version B 2348.



Version A
# TaReAs GGA-PBE optimized geometry
data_TaReAs
_chemical_formula_sum 'Ta2 Re2 As2'
_cell_length_a 3.092
_cell_length_b 3.922
_cell_length_c 8.110
_cell_angle_alpha 90.00
_cell_angle_beta 90.00
_cell_angle_gamma 90.00
_space_group_name_H-M_alt 'I m m 2'
_space_group_IT_number 44
loop_
_space_group_symop_operation_xyz
'x,y,z'
'-x,-y,z'
'-x,y,z'
'x,-y,z'
'x+1/2,y+1/2,z+1/2'
'-x+1/2,-y+1/2,z+1/2'
'-x+1/2,y+1/2,z+1/2'
'x+1/2,-y+1/2,z+1/2'
loop_
_atom_site_label
_atom_site_type_symbol
_atom_site_fract_x
_atom_site_fract_y
_atom_site_fract_z
Ta1 Ta 0.000 0.000 0.000
Re1 Re 0.000 0.000 0.342
As1 As 0.000 0.000 0.673
# Density   14.928 g/cm³
# Total magnetization   0.00 μB per formula unit



Version B
# TaReAs GGA-PBE optimized geometry
data_TaReAs
_chemical_formula_sum 'Ta1 Re1 As1'
_cell_length_a 4.3450
_cell_length_b 4.3450
_cell_length_c 2.9587
_cell_angle_alpha 90.00
_cell_angle_beta 90.00
_cell_angle_gamma 120.00
_space_group_name_H-M_alt 'P -6 m 2'
_space_group_IT_number 187
_space_group_name_Hall 'P -6 2'
loop_
_atom_site_label
_atom_site_type_symbol
_atom_site_fract_x
_atom_site_fract_y
_atom_site_fract_z
Ta1 Ta 0.0000 0.0000 0.0000
Re1 Re 0.3333 0.6667 0.5000
As1 As 0.6667 0.3333 0.5000
# Density   15.175 g/cm³
# Total magnetization   0.00 μB per formula unit



Relative energies, in meV/atom, with the most stable structure set to zero: version A 240; version B 0.



Version A
# TaReAs GGA-PBE optimized geometry
data_TaReAs
_chemical_formula_sum 'Ta1 Re1 As1'
_cell_length_a 2.9893
_cell_length_b 2.9893
_cell_length_c 6.3403
_cell_angle_alpha 90.00
_cell_angle_beta 90.00
_cell_angle_gamma 120.00
_space_group_name_H-M_alt 'P 3 m 1'
_space_group_IT_number 156
loop_
_space_group_symop_operation_xyz
'x,y,z'
'-y,x-y,z'
'-x+y,-x,z'
'-y,-x,z'
'-x+y,y,z'
'x,x-y,z'
loop_
_atom_site_label
_atom_site_type_symbol
_atom_site_fract_x
_atom_site_fract_y
_atom_site_fract_z
Ta1 Ta 0.0000 0.0000 0.0000
Re1 Re 0.3333 0.6667 0.6505
As1 As 0.6667 0.3333 0.3491
# Density   14.961 g/cm³
# Total magnetization   0.00 μB per formula unit



Version B
# TaReAs GGA-PBE optimized geometry
data_TaReAs
_chemical_formula_sum 'Ta4 Re4 As4'
_cell_length_a 6.120
_cell_length_b 6.120
_cell_length_c 6.120
_cell_angle_alpha 90.00
_cell_angle_beta 90.00
_cell_angle_gamma 90.00
_space_group_name_H-M_alt 'F -4 3 m'
_space_group_IT_number 216
_space_group_name_Hall 'F -4 2 3'
loop_
_atom_site_label
_atom_site_type_symbol
_atom_site_fract_x
_atom_site_fract_y
_atom_site_fract_z
Ta1 Ta 0.000 0.000 0.000
Re1 Re 0.250 0.250 0.750
As1 As 0.250 0.250 0.250
# Density   12.809 g/cm³
# Total magnetization   0.00 μB per formula unit



Version C
# TaReAs GGA-PBE optimized geometry
data_TaReAs
_chemical_formula_sum 'Ta2 Re2 As2'
_cell_length_a 3.052
_cell_length_b 3.052
_cell_length_c 10.297
_cell_angle_alpha 90.00
_cell_angle_beta 90.00
_cell_angle_gamma 90.00
_space_group_name_H-M_alt 'I 4 m m'
_space_group_IT_number 107
_space_group_name_Hall 'I 4 -2'
loop_
_atom_site_label
_atom_site_type_symbol
_atom_site_fract_x
_atom_site_fract_y
_atom_site_fract_z
Ta1 Ta 0.000 0.000 0.000
Re1 Re 0.000 0.000 0.684
As1 As 0.000 0.000 0.318
# Density   15.306 g/cm³
# Total magnetization   0.00 μB per formula unit



Version D
# TaReAs GGA-PBE optimized geometry
data_TaReAs
_chemical_formula_sum 'Ta2 Re2 As2'
_cell_length_a 10.416
_cell_length_b 3.106
_cell_length_c 3.073
_cell_angle_alpha 90.00
_cell_angle_beta 98.60
_cell_angle_gamma 90.00
_space_group_name_H-M_alt 'C 1 m 1'
_space_group_IT_number 8
loop_
_space_group_symop_operation_xyz
'x,y,z'
'x,-y,z'
'x+1/2,y+1/2,z'
'x+1/2,-y+1/2,z'
loop_
_atom_site_label
_atom_site_type_symbol
_atom_site_fract_x
_atom_site_fract_y
_atom_site_fract_z
Ta1 Ta 0.000 0.000 0.000
Re1 Re 0.180 0.500 0.593
As1 As 0.306 0.000 0.167
# Density   14.936 g/cm³
# Total magnetization   0.00 μB per formula unit



Relative energies, in meV/atom, with the most stable structure set to zero: version A 171; version B 456; version C 32; version D 0.



Version A
# ReTcAs2 GGA-PBE optimized geometry
data_ReTcAs2
_chemical_formula_sum 'Re4 Tc4 As8'
_cell_length_a 6.165
_cell_length_b 6.165
_cell_length_c 6.165
_cell_angle_alpha 90.00
_cell_angle_beta 90.00
_cell_angle_gamma 90.00
_space_group_name_H-M_alt 'F m -3 m'
_space_group_IT_number 225
_space_group_name_Hall '-F 4 2 3'
loop_
_atom_site_label
_atom_site_type_symbol
_atom_site_fract_x
_atom_site_fract_y
_atom_site_fract_z
Re1 Re 0.000 0.000 0.000
Tc1 Tc 0.000 0.000 0.500
As1 As 0.250 0.250 0.250
# Density   12.304 g/cm³
# Total magnetization   0.00 μB per formula unit



Version B
# ReTcAs2 GGA-PBE optimized geometry
data_ReTcAs2
_chemical_formula_sum 'Re1 Tc1 As2'
_cell_length_a 2.872
_cell_length_b 4.025
_cell_length_c 5.309
_cell_angle_alpha 90.00
_cell_angle_beta 90.00
_cell_angle_gamma 90.00
_space_group_name_H-M_alt 'P m m 2'
_space_group_IT_number 25
loop_
_space_group_symop_operation_xyz
'x,y,z'
'-x,-y,z'
'-x,y,z'
'x,-y,z'
loop_
_atom_site_label
_atom_site_type_symbol
_atom_site_fract_x
_atom_site_fract_y
_atom_site_fract_z
Re1 Re 0.000 0.000 0.000
Tc1 Tc 0.500 0.500 0.302
As1 As 0.000 0.000 0.479
As2 As 0.500 0.500 0.824
# Density   11.743 g/cm³
# Total magnetization   0.00 μB per formula unit



Version C
# ReTcAs2 GGA-PBE optimized geometry
data_ReTcAs2
_chemical_formula_sum 'Re1 Tc1 As2'
_cell_length_a 2.926
_cell_length_b 2.926
_cell_length_c 8.019
_cell_angle_alpha 90.00
_cell_angle_beta 90.00
_cell_angle_gamma 90.00
_space_group_name_H-M_alt 'P 4 m m'
_space_group_IT_number 99
loop_
_space_group_symop_operation_xyz
'x,y,z'
'-y,x,z'
'-x,-y,z'
'y,-x,z'
'-x,y,z'
'y,x,z'
'x,-y,z'
'-y,-x,z'
loop_
_atom_site_label
_atom_site_type_symbol
_atom_site_fract_x
_atom_site_fract_y
_atom_site_fract_z
Re1 Re 0.000 0.000 0.000
Tc1 Tc 0.500 0.500 0.216
As1 As 0.000 0.000 0.424
As2 As 0.500 0.500 0.788
# Density   10.496 g/cm³
# Total magnetization   0.00 μB per formula unit



Version D
# ReTcAs2 GGA-PBE optimized geometry
data_ReTcAs2
_chemical_formula_sum 'Re2 Tc2 As4'
_cell_length_a 3.041
_cell_length_b 5.158
_cell_length_c 8.075
_cell_angle_alpha 90.00
_cell_angle_beta 90.00
_cell_angle_gamma 90.00
_space_group_name_H-M_alt 'C m m m'
_space_group_IT_number 65
_space_group_name_Hall '-C 2 2'
loop_
_atom_site_label
_atom_site_type_symbol
_atom_site_fract_x
_atom_site_fract_y
_atom_site_fract_z
Re1 Re 0.000 0.000 0.000
Tc1 Tc 0.000 0.000 0.500
As1 As 0.000 0.500 0.252
# Density   11.380 g/cm³
# Total magnetization   0.00 μB per formula unit



Relative energies, in meV/atom, with the most stable structure set to zero: version A 105; version B 127; version C 0; version D 503.



Version A
# ReTcAs2 GGA-PBE optimized geometry
data_ReTcAs2
_chemical_formula_sum 'Re2 Tc2 As4'
_cell_length_a 4.020
_cell_length_b 4.020
_cell_length_c 7.644
_cell_angle_alpha 90.00
_cell_angle_beta 90.00
_cell_angle_gamma 90.00
_space_group_name_H-M_alt 'I -4 m 2'
_space_group_IT_number 119
_space_group_name_Hall 'I -4 -2'
loop_
_atom_site_label
_atom_site_type_symbol
_atom_site_fract_x
_atom_site_fract_y
_atom_site_fract_z
Re1 Re 0.000 0.000 0.000
Tc1 Tc 0.000 0.500 0.750
As1 As 0.000 0.000 0.500
As2 As 0.000 0.500 0.250
# Density   11.672 g/cm³
# Total magnetization   0.00 μB per formula unit



Version B
# ReTcAs2 GGA-PBE optimized geometry
data_ReTcAs2
_chemical_formula_sum 'Re3 Tc3 As6'
_cell_length_a 2.9417
_cell_length_b 2.9417
_cell_length_c 30.5878
_cell_angle_alpha 90.00
_cell_angle_beta 90.00
_cell_angle_gamma 120.00
_space_group_name_H-M_alt 'R 3 m'
_space_group_IT_number 160
_space_group_name_Hall 'R 3 -2"'
loop_
_atom_site_label
_atom_site_type_symbol
_atom_site_fract_x
_atom_site_fract_y
_atom_site_fract_z
Re1 Re 0.0000 0.0000 0.0000
Tc1 Tc 0.0000 0.0000 0.7385
As1 As 0.0000 0.0000 0.2709
As2 As 0.0000 0.0000 0.4668
# Density   9.432 g/cm³
# Total magnetization   0.00 μB per formula unit



Relative energies, in meV/atom, with the most stable structure set to zero: version A 359; version B 0.



Version A
# ReTcAs2 GGA-PBE optimized geometry
data_ReTcAs2
_chemical_formula_sum 'Re2 Tc2 As4'
_cell_length_a 3.072
_cell_length_b 4.164
_cell_length_c 9.615
_cell_angle_alpha 90.00
_cell_angle_beta 90.00
_cell_angle_gamma 90.00
_space_group_name_H-M_alt 'I m m 2'
_space_group_IT_number 44
loop_
_space_group_symop_operation_xyz
'x,y,z'
'-x,-y,z'
'-x,y,z'
'x,-y,z'
'x+1/2,y+1/2,z+1/2'
'-x+1/2,-y+1/2,z+1/2'
'-x+1/2,y+1/2,z+1/2'
'x+1/2,-y+1/2,z+1/2'
loop_
_atom_site_label
_atom_site_type_symbol
_atom_site_fract_x
_atom_site_fract_y
_atom_site_fract_z
Re1 Re 0.000 0.000 0.000
Tc1 Tc 0.000 0.500 0.767
As1 As 0.000 0.000 0.497
As2 As 0.000 0.500 0.273
# Density   11.719 g/cm³
# Total magnetization   0.01 μB per formula unit



Version B
# ReTcAs2 GGA-PBE optimized geometry
data_ReTcAs2
_chemical_formula_sum 'Re1 Tc1 As2'
_cell_length_a 3.030
_cell_length_b 4.036
_cell_length_c 5.190
_cell_angle_alpha 90.00
_cell_angle_beta 90.00
_cell_angle_gamma 90.00
_space_group_name_H-M_alt 'P m m m'
_space_group_IT_number 47
loop_
_space_group_symop_operation_xyz
'x,y,z'
'-x,-y,-z'
'-x,-y,z'
'x,y,-z'
'x,-y,-z'
'-x,y,z'
'-x,y,-z'
'x,-y,z'
loop_
_atom_site_label
_atom_site_type_symbol
_atom_site_fract_x
_atom_site_fract_y
_atom_site_fract_z
Re1 Re 0.000 0.000 0.000
Tc1 Tc 0.500 0.000 0.500
As1 As 0.000 0.500 0.500
As2 As 0.500 0.500 0.000
# Density   11.355 g/cm³
# Total magnetization   0.00 μB per formula unit



Version C
# ReTcAs2 GGA-PBE optimized geometry
data_ReTcAs2
_chemical_formula_sum 'Re4 Tc4 As8'
_cell_length_a 6.323
_cell_length_b 6.323
_cell_length_c 6.323
_cell_angle_alpha 90.00
_cell_angle_beta 90.00
_cell_angle_gamma 90.00
_space_group_name_H-M_alt 'F -4 3 m'
_space_group_IT_number 216
_space_group_name_Hall 'F -4 2 3'
loop_
_atom_site_label
_atom_site_type_symbol
_atom_site_fract_x
_atom_site_fract_y
_atom_site_fract_z
Re1 Re 0.000 0.000 0.000
Tc1 Tc 0.250 0.250 0.250
As1 As 0.000 0.000 0.500
As2 As 0.250 0.250 0.750
# Density   11.405 g/cm³
# Total magnetization   0.00 μB per formula unit



Relative energies, in meV/atom, with the most stable structure set to zero: version A 0; version B 252; version C 345.